(1)
Crystalline YW2Se at its relaxed geometry. Source: Alexandria, functional GGA-PBE.

Calculated values
The value obtained for the formation energy (no corrections) is 189 kJ/mol of formula units.

Geometry as CIF:
```
data_YW2Se
_chemical_formula_sum 'Y2 W4 Se2'
_space_group_name_H-M_alt 'I -4 m 2'
_space_group_IT_number 119
_space_group_name_Hall 'I -4 -2'
_cell_length_a 4.5053
_cell_length_b 4.5053
_cell_length_c 7.4070
_cell_angle_alpha 90.00
_cell_angle_beta 90.00
_cell_angle_gamma 90.00
loop_
_atom_site_label
_atom_site_type_symbol
_atom_site_fract_x
_atom_site_fract_y
_atom_site_fract_z
Y1 Y 0.0000 0.0000 0.0000
W1 W 0.0000 0.0000 0.5000
W2 W 0.0000 0.5000 0.2500
Se1 Se 0.0000 0.5000 0.7500
```

(2)
Crystalline Ac8Tb4Pr at its relaxed geometry. Source: Alexandria, functional GGA-PBE.

Calculated values
The formation energy is 0.3937 eV/atom.

Geometry as CIF:
```
data_Ac8Tb4Pr
_chemical_formula_sum 'Ac24 Tb12 Pr3'
_space_group_name_H-M_alt 'R -3 m'
_space_group_IT_number 166
_space_group_name_Hall '-R 3 2"'
_cell_length_a 11.8176
_cell_length_b 11.8176
_cell_length_c 14.4452
_cell_angle_alpha 90.00
_cell_angle_beta 90.00
_cell_angle_gamma 120.00
loop_
_atom_site_label
_atom_site_type_symbol
_atom_site_fract_x
_atom_site_fract_y
_atom_site_fract_z
Ac1 Ac 0.0000 0.0000 0.2404
Ac2 Ac 0.0125 0.5062 0.7466
Tb1 Tb 0.0000 0.0000 0.0000
Tb2 Tb 0.0000 0.5000 0.0000
Pr1 Pr 0.0000 0.0000 0.5000
```

(3)
Crystalline Tb2Dy8Zn at its relaxed geometry. Source: Alexandria, functional GGA-PBE.

Calculated values
The formation energy is -0.0188 eV/atom.

Geometry as CIF:
```
data_Tb2Dy8Zn
_chemical_formula_sum 'Tb4 Dy16 Zn2'
_space_group_name_H-M_alt 'C 1 2/m 1'
_space_group_IT_number 12
_space_group_name_Hall '-C 2y'
_cell_length_a 18.9847
_cell_length_b 5.4881
_cell_length_c 6.3899
_cell_angle_alpha 90.00
_cell_angle_beta 93.72
_cell_angle_gamma 90.00
loop_
_atom_site_label
_atom_site_type_symbol
_atom_site_fract_x
_atom_site_fract_y
_atom_site_fract_z
Tb1 Tb 0.2402 0.0000 0.3311
Dy1 Dy 0.0416 0.0000 0.2534
Dy2 Dy 0.0780 0.5000 0.6076
Dy3 Dy 0.1551 0.5000 0.1213
Dy4 Dy 0.1561 0.0000 0.8101
Zn1 Zn 0.0000 0.5000 0.0000
```

(4)
Crystalline PmGdSbPd at its relaxed geometry. Source: Alexandria, functional GGA-PBE.

Calculated values
The value obtained for the formation energy (no corrections) is -313 kJ/mol of formula units.

Geometry as CIF:
```
data_PmGdSbPd
_chemical_formula_sum 'Pm4 Gd4 Sb4 Pd4'
_space_group_name_H-M_alt 'F -4 3 m'
_space_group_IT_number 216
_space_group_name_Hall 'F -4 2 3'
_cell_length_a 7.4072
_cell_length_b 7.4072
_cell_length_c 7.4072
_cell_angle_alpha 90.00
_cell_angle_beta 90.00
_cell_angle_gamma 90.00
loop_
_atom_site_label
_atom_site_type_symbol
_atom_site_fract_x
_atom_site_fract_y
_atom_site_fract_z
Pm1 Pm 0.0000 0.0000 0.0000
Gd1 Gd 0.0000 0.0000 0.5000
Sb1 Sb 0.2500 0.2500 0.7500
Pd1 Pd 0.2500 0.2500 0.2500
```

(5)
Crystalline YZrSc2N4 at its relaxed geometry. Source: Alexandria, functional GGA-PBE.

Calculated values
The value obtained for the formation energy (no corrections) is -1391 kJ/mol of formula units.

Geometry as CIF:
```
data_YZrSc2N4
_chemical_formula_sum 'Y1 Zr1 Sc2 N4'
_space_group_name_H-M_alt 'P 1 2/m 1'
_space_group_IT_number 10
_space_group_name_Hall '-P 2y'
_cell_length_a 5.6623
_cell_length_b 3.2818
_cell_length_c 5.6987
_cell_angle_alpha 90.00
_cell_angle_beta 109.38
_cell_angle_gamma 90.00
loop_
_atom_site_label
_atom_site_type_symbol
_atom_site_fract_x
_atom_site_fract_y
_atom_site_fract_z
Y1 Y 0.0000 0.0000 0.0000
Zr1 Zr 0.0000 0.5000 0.5000
Sc1 Sc 0.5000 0.0000 0.5000
Sc2 Sc 0.5000 0.5000 0.0000
N1 N 0.2541 0.0000 0.7429
N2 N 0.2593 0.5000 0.2630
```

(6)
Crystalline LaTb3Dy7 at its relaxed geometry. Source: Alexandria, functional GGA-PBE.

Calculated values
The formation energy is 0.1415 eV/atom. The offset from the most stable computed form comes out at 0 meV per atom.

Geometry as CIF:
```
data_LaTb3Dy7
_chemical_formula_sum 'La1 Tb3 Dy7'
_space_group_name_H-M_alt 'P 1 2/m 1'
_space_group_IT_number 10
_space_group_name_Hall '-P 2y'
_cell_length_a 6.9665
_cell_length_b 5.5658
_cell_length_c 9.9058
_cell_angle_alpha 90.00
_cell_angle_beta 109.32
_cell_angle_gamma 90.00
loop_
_atom_site_label
_atom_site_type_symbol
_atom_site_fract_x
_atom_site_fract_y
_atom_site_fract_z
La1 La 0.0000 0.0000 0.0000
Tb1 Tb 0.2777 0.5000 0.4964
Tb2 Tb 0.5000 0.0000 0.0000
Dy1 Dy 0.0000 0.0000 0.5000
Dy2 Dy 0.1460 0.5000 0.7890
Dy3 Dy 0.3266 0.5000 0.1422
Dy4 Dy 0.4254 0.0000 0.3315
```

(7)
Crystalline Y5Sn5H2 at its relaxed geometry. Source: Alexandria, functional GGA-PBE.

Geometry as CIF:
```
data_Y5Sn5H2
_chemical_formula_sum 'Y10 Sn10 H4'
_space_group_name_H-M_alt 'C 1 2/m 1'
_space_group_IT_number 12
_space_group_name_Hall '-C 2y'
_cell_length_a 11.6786
_cell_length_b 4.3779
_cell_length_c 11.3826
_cell_angle_alpha 90.00
_cell_angle_beta 104.95
_cell_angle_gamma 90.00
loop_
_atom_site_label
_atom_site_type_symbol
_atom_site_fract_x
_atom_site_fract_y
_atom_site_fract_z
Y1 Y 0.0000 0.0000 0.0000
Y2 Y 0.1159 0.0000 0.3396
Y3 Y 0.1322 0.5000 0.8253
Sn1 Sn 0.0000 0.5000 0.5000
Sn2 Sn 0.1542 0.5000 0.1349
Sn3 Sn 0.1727 0.0000 0.6273
H1 H 0.0541 0.0000 0.8276
```

(8)
Crystalline PrPbS2 at its relaxed geometry. Source: Alexandria, functional GGA-PBE.

Calculated values
The value obtained for the formation energy (no corrections) is -449 kJ/mol of formula units.

Geometry as CIF:
```
data_PrPbS2
_chemical_formula_sum 'Pr3 Pb3 S6'
_space_group_name_H-M_alt 'R 3 m'
_space_group_IT_number 160
_space_group_name_Hall 'R 3 -2"'
_cell_length_a 4.0358
_cell_length_b 4.0358
_cell_length_c 22.3280
_cell_angle_alpha 90.00
_cell_angle_beta 90.00
_cell_angle_gamma 120.00
loop_
_atom_site_label
_atom_site_type_symbol
_atom_site_fract_x
_atom_site_fract_y
_atom_site_fract_z
Pr1 Pr 0.0000 0.0000 0.0000
Pb1 Pb 0.0000 0.0000 0.8335
S1 S 0.0000 0.0000 0.2528
S2 S 0.0000 0.0000 0.4131
```

(9)
Crystalline BeCu2Se at its relaxed geometry. Source: Alexandria, functional GGA-PBE.

Calculated values
The offset from the most stable computed form comes out at 0 meV per atom. The value obtained for the formation energy (no corrections) is 29 kJ/mol of formula units.

Geometry as CIF:
```
data_BeCu2Se
_chemical_formula_sum 'Be1 Cu2 Se1'
_space_group_name_H-M_alt 'P -3 m 1'
_space_group_IT_number 164
_space_group_name_Hall '-P 3 2"'
_cell_length_a 3.7550
_cell_length_b 3.7550
_cell_length_c 4.6735
_cell_angle_alpha 90.00
_cell_angle_beta 90.00
_cell_angle_gamma 120.00
loop_
_atom_site_label
_atom_site_type_symbol
_atom_site_fract_x
_atom_site_fract_y
_atom_site_fract_z
Be1 Be 0.0000 0.0000 0.0000
Cu1 Cu 0.3333 0.6667 0.1696
Se1 Se 0.0000 0.0000 0.5000
```

(10)
Crystalline ErZrGaHg at its relaxed geometry. Source: Alexandria, functional GGA-PBE.

Calculated values
The formation energy is -0.3548 eV/atom.

Geometry as CIF:
```
data_ErZrGaHg
_chemical_formula_sum 'Er4 Zr4 Ga4 Hg4'
_space_group_name_H-M_alt 'F -4 3 m'
_space_group_IT_number 216
_space_group_name_Hall 'F -4 2 3'
_cell_length_a 7.0643
_cell_length_b 7.0643
_cell_length_c 7.0643
_cell_angle_alpha 90.00
_cell_angle_beta 90.00
_cell_angle_gamma 90.00
loop_
_atom_site_label
_atom_site_type_symbol
_atom_site_fract_x
_atom_site_fract_y
_atom_site_fract_z
Er1 Er 0.0000 0.0000 0.0000
Zr1 Zr 0.0000 0.0000 0.5000
Ga1 Ga 0.2500 0.2500 0.7500
Hg1 Hg 0.2500 0.2500 0.2500
```

(11)
Crystalline Sr2PuGa4Pt3 at its relaxed geometry. Source: Alexandria, functional GGA-PBE.

Calculated values
The formation energy is -0.6739 eV/atom.

Geometry as CIF:
```
data_Sr2PuGa4Pt3
_chemical_formula_sum 'Sr2 Pu1 Ga4 Pt3'
_space_group_name_H-M_alt 'P -4 m 2'
_space_group_IT_number 115
_space_group_name_Hall 'P -4 -2'
_cell_length_a 4.3290
_cell_length_b 4.3290
_cell_length_c 11.8503
_cell_angle_alpha 90.00
_cell_angle_beta 90.00
_cell_angle_gamma 90.00
loop_
_atom_site_label
_atom_site_type_symbol
_atom_site_fract_x
_atom_site_fract_y
_atom_site_fract_z
Sr1 Sr 0.0000 0.5000 0.2280
Pu1 Pu 0.0000 0.0000 0.5000
Ga1 Ga 0.0000 0.0000 0.0000
Ga2 Ga 0.0000 0.5000 0.6692
Ga3 Ga 0.5000 0.5000 0.0000
Pt1 Pt 0.0000 0.5000 0.8816
Pt2 Pt 0.5000 0.5000 0.5000
```

(12)
Crystalline Si5C at its relaxed geometry. Source: Alexandria, functional GGA-PBE.

Calculated values
The offset from the most stable computed form comes out at 423 meV per atom. The value obtained for the formation energy (no corrections) is 528 kJ/mol of formula units.

Geometry as CIF:
```
data_Si5C
_chemical_formula_sum 'Si5 C1'
_space_group_name_H-M_alt 'P 4/m m m'
_space_group_IT_number 123
_space_group_name_Hall '-P 4 2'
_cell_length_a 2.7002
_cell_length_b 2.7002
_cell_length_c 10.4864
_cell_angle_alpha 90.00
_cell_angle_beta 90.00
_cell_angle_gamma 90.00
loop_
_atom_site_label
_atom_site_type_symbol
_atom_site_fract_x
_atom_site_fract_y
_atom_site_fract_z
Si1 Si 0.0000 0.0000 0.0000
Si2 Si 0.0000 0.0000 0.3860
Si3 Si 0.5000 0.5000 0.1918
C1 C 0.5000 0.5000 0.5000
```

Number 1: uncorrected energy -67.80 eV for the cell shown. Number 2: uncorrected energy -153.15 eV for the cell shown. Number 3: uncorrected energy -95.12 eV for the cell shown. Number 4: uncorrected energy -125.56 eV for the cell shown. Number 5: uncorrected energy -75.40 eV for the cell shown. Number 6: uncorrected energy -49.48 eV for the cell shown. Number 7: uncorrected energy -133.35 eV for the cell shown. Number 8: uncorrected energy -64.18 eV for the cell shown. Number 9: uncorrected energy -15.10 eV for the cell shown. Number 10: uncorrected energy -71.44 eV for the cell shown. Number 11: uncorrected energy -54.66 eV for the cell shown. Number 12: uncorrected energy -30.87 eV for the cell shown.